1.
DFT (GGA-PBEsol) results for crystalline TlIn3 at its relaxed geometry.

Values from the calculation:
Energy of formation from the pure elements in eV per atom: 0.01
Raw total energy in eV per atom: -2.885

```
data_TlIn3
_space_group_name_H-M_alt 'C m c m'
_space_group_IT_number 63
_space_group_name_Hall '-C 2c 2'
_cell_length_a 7.7909
_cell_length_b 10.3979
_cell_length_c 5.1882
_cell_angle_alpha 90.00
_cell_angle_beta 90.00
_cell_angle_gamma 90.00
loop_
_atom_site_label
_atom_site_fract_x
_atom_site_fract_y
_atom_site_fract_z
_atom_site_occupancy
Tl1 0.0000 0.1216 0.2500 1
In1 0.0000 0.3347 0.7500 1
In2 0.2199 0.3937 0.2500 1
```

---

2.
DFT (GGA-PBEsol) results for crystalline Ba2SbAs at its relaxed geometry.

Values from the calculation:
Energy relative to the elements, uncorrected in eV/atom: -0.715
Raw total energy in eV per atom: -4.205
Polymorph energy (0 for the lowest one) in meV per atom: 238

```
data_Ba2SbAs
_space_group_name_H-M_alt 'P m m m'
_space_group_IT_number 47
_space_group_name_Hall '-P 2 2'
_cell_length_a 3.7174
_cell_length_b 5.7593
_cell_length_c 6.8101
_cell_angle_alpha 90.00
_cell_angle_beta 90.00
_cell_angle_gamma 90.00
loop_
_atom_site_label
_atom_site_fract_x
_atom_site_fract_y
_atom_site_fract_z
_atom_site_occupancy
Ba1 0.0000 0.0000 0.0000 1
Ba2 0.5000 0.5000 0.5000 1
Sb1 0.0000 0.0000 0.5000 1
As1 0.5000 0.5000 0.0000 1
```

---

3.
DFT (GGA-PBEsol) results for crystalline AsPbSe2 at its relaxed geometry.

Values from the calculation:
Energy relative to the elements, uncorrected in eV/atom: 0.049
Raw total energy in eV per atom: -4.153
Polymorph energy (0 for the lowest one) in meV per atom: 58

```
data_AsPbSe2
_space_group_name_H-M_alt 'P 4/m m m'
_space_group_IT_number 123
_space_group_name_Hall '-P 4 2'
_cell_length_a 3.4918
_cell_length_b 3.4918
_cell_length_c 7.1654
_cell_angle_alpha 90.00
_cell_angle_beta 90.00
_cell_angle_gamma 90.00
loop_
_atom_site_label
_atom_site_fract_x
_atom_site_fract_y
_atom_site_fract_z
_atom_site_occupancy
As1 0.0000 0.0000 0.0000 1
Pb1 0.0000 0.0000 0.5000 1
Se1 0.5000 0.5000 0.2246 1
```

---

4.
DFT (GGA-PBEsol) results for crystalline CoIr2W at its relaxed geometry.

Values from the calculation:
Energy of formation from the pure elements in eV per atom: -0.16
Raw total energy in eV per atom: -10.462
Polymorph energy (0 for the lowest one) in meV per atom: 54

```
data_CoIr2W
_space_group_name_H-M_alt 'P m m m'
_space_group_IT_number 47
_space_group_name_Hall '-P 2 2'
_cell_length_a 2.7173
_cell_length_b 3.7072
_cell_length_c 5.3989
_cell_angle_alpha 90.00
_cell_angle_beta 90.00
_cell_angle_gamma 90.00
loop_
_atom_site_label
_atom_site_fract_x
_atom_site_fract_y
_atom_site_fract_z
_atom_site_occupancy
Co1 0.0000 0.0000 0.0000 1
Ir1 0.5000 0.5000 0.2385 1
W1 0.0000 0.0000 0.5000 1
```

---

5.
DFT (GGA-PBEsol) results for crystalline LiMn2Pb at its relaxed geometry.

Values from the calculation:
Energy of formation from the pure elements in eV per atom: 0.53
Raw total energy in eV per atom: -5.840

```
data_LiMn2Pb
_space_group_name_H-M_alt 'C 1 2/m 1'
_space_group_IT_number 12
_space_group_name_Hall '-C 2y'
_cell_length_a 5.4762
_cell_length_b 9.5029
_cell_length_c 2.9916
_cell_angle_alpha 90.00
_cell_angle_beta 118.36
_cell_angle_gamma 90.00
loop_
_atom_site_label
_atom_site_fract_x
_atom_site_fract_y
_atom_site_fract_z
_atom_site_occupancy
Li1 0.0000 0.0000 0.0000 1
Mn1 0.2500 0.2500 0.5000 1
Pb1 0.0000 0.5000 0.0000 1
```

---

6.
DFT (GGA-PBEsol) results for crystalline DyIn5Co at its relaxed geometry.

Values from the calculation:
Energy of formation from the pure elements in eV per atom: -0.31
Raw total energy in eV per atom: -4.253

```
data_DyIn5Co
_space_group_name_H-M_alt 'P 4/m m m'
_space_group_IT_number 123
_space_group_name_Hall '-P 4 2'
_cell_length_a 4.4889
_cell_length_b 4.4889
_cell_length_c 7.3651
_cell_angle_alpha 90.00
_cell_angle_beta 90.00
_cell_angle_gamma 90.00
loop_
_atom_site_label
_atom_site_fract_x
_atom_site_fract_y
_atom_site_fract_z
_atom_site_occupancy
Dy1 0.0000 0.0000 0.0000 1
In1 0.0000 0.5000 0.3062 1
In2 0.5000 0.5000 0.0000 1
Co1 0.0000 0.0000 0.5000 1
```

---

7.
DFT (GGA-PBEsol) results for crystalline InCo2Os at its relaxed geometry.

Values from the calculation:
Energy of formation from the pure elements in eV per atom: 0.37
Raw total energy in eV per atom: -7.300

```
data_InCo2Os
_space_group_name_H-M_alt 'R -3 m'
_space_group_IT_number 166
_space_group_name_Hall '-R 3 2"'
_cell_length_a 2.7368
_cell_length_b 2.7368
_cell_length_c 25.0134
_cell_angle_alpha 90.00
_cell_angle_beta 90.00
_cell_angle_gamma 120.00
loop_
_atom_site_label
_atom_site_fract_x
_atom_site_fract_y
_atom_site_fract_z
_atom_site_occupancy
In1 0.0000 0.0000 0.0000 1
Co1 0.0000 0.0000 0.2456 1
Os1 0.0000 0.0000 0.5000 1
```

---

8.
DFT (GGA-PBEsol) results for crystalline Li2VF6 at its relaxed geometry.

Values from the calculation:
Energy relative to the elements, uncorrected in eV/atom: -2.911
Raw total energy in eV per atom: -5.703
Polymorph energy (0 for the lowest one) in meV per atom: 31

```
data_Li2VF6
_space_group_name_H-M_alt 'P -3 m 1'
_space_group_IT_number 164
_space_group_name_Hall '-P 3 2"'
_cell_length_a 8.5430
_cell_length_b 8.5430
_cell_length_c 4.4135
_cell_angle_alpha 90.00
_cell_angle_beta 90.00
_cell_angle_gamma 120.00
loop_
_atom_site_label
_atom_site_fract_x
_atom_site_fract_y
_atom_site_fract_z
_atom_site_occupancy
Li1 0.0000 0.3436 0.0000 1
V1 0.0000 0.0000 0.0000 1
V2 0.3333 0.6667 0.4957 1
F1 0.1062 0.2124 0.2196 1
F2 0.1278 0.5639 0.2502 1
F3 0.2313 0.4625 0.7364 1
```